Entry 1:
Here is a relaxed structure of Dy4Ga12Tc from Alexandria. Energies are from PBE-GGA.

Geometry as POSCAR:
```
Dy4Ga12Tc
1.0
7.478 0.000 0.000
-2.493 7.050 0.000
-2.493 -3.525 6.106
Dy Ga Tc
4 12 1
Cartesian
3.739 0.000 0.000 Dy
-1.246 3.525 0.000 Dy
1.246 1.763 3.053 Dy
-1.246 -1.763 3.053 Dy
1.246 -0.881 4.579 Ga
-1.451 1.026 1.778 Ga
1.451 2.052 0.000 Ga
3.534 -2.499 4.328 Ga
3.739 2.644 1.526 Ga
-1.246 3.525 3.053 Ga
-3.534 2.499 4.328 Ga
1.451 -1.026 1.778 Ga
3.534 4.998 0.000 Ga
3.739 0.000 3.053 Ga
1.246 4.407 1.526 Ga
-1.246 0.881 4.579 Ga
0.000 0.000 0.000 Tc
```

Summary:
The space group is Im-3m, No. 229. Its formation energy is -0.54 eV/atom. The calculation puts the total moment at 0.00 μB/cell.


Entry 2:
Here is a relaxed structure of Dy2Ga3Tc from Alexandria. Energies are from PBE-GGA.

Geometry as POSCAR:
```
Dy2Ga3Tc
1.0
4.865 -0.150 -2.567
-3.091 4.546 -0.225
-0.264 0.087 5.391
Tc Dy Ga
1 2 3
Cartesian
0.000 0.000 0.000 Tc
-0.925 2.896 3.973 Dy
2.434 1.588 -1.374 Dy
0.755 2.242 1.299 Ga
-0.132 0.044 2.695 Ga
2.300 -0.031 1.412 Ga
```

Summary:
The value obtained for the energy above the most stable polymorph in this dataset is 0.0 meV per atom. The space group is R-3m, No. 166. Its formation energy is -0.52 eV/atom. The calculation puts the total moment at 0.00 μB/cell.